First-principles (GGA-PBE) data for SrNi4SbP2 after structural relaxation, as listed in Alexandria.

- formation energy from raw total energies (kJ/mol of atoms) = -52
- magnetization (μB/f.u.) = 0.00
- space group = P4/mmm, No. 123

Cell: 3.8513 3.8513 9.1469 Å, 90.00 90.00 90.00°
Element x y z (fractional)
1 Sr 0.0000 0.0000 0.0000
2 Ni 0.0000 0.5000 0.3092
3 Ni 0.0000 0.5000 0.6908
4 Ni 0.5000 0.0000 0.3092
5 Ni 0.5000 0.0000 0.6908
6 Sb 0.0000 0.0000 0.5000
7 P 0.5000 0.5000 0.1917
8 P 0.5000 0.5000 0.8083

---

First-principles (GGA-PBE) data for UNi4SbP2 after structural relaxation, as listed in Alexandria.

- formation energy from raw total energies (kJ/mol of atoms) = -50
- magnetization (μB/f.u.) = 1.79
- space group = P4/mmm, No. 123

Cell: 3.7390 3.7390 8.5258 Å, 90.00 90.00 90.00°
Element x y z (fractional)
1 U 0.0000 0.0000 0.0000
2 Ni 0.0000 0.5000 0.2869
3 Ni 0.0000 0.5000 0.7131
4 Ni 0.5000 0.0000 0.2869
5 Ni 0.5000 0.0000 0.7131
6 Sb 0.0000 0.0000 0.5000
7 P 0.5000 0.5000 0.1405
8 P 0.5000 0.5000 0.8595

---

First-principles (GGA-PBE) data for VNi7Sb2P2 after structural relaxation, as listed in Alexandria.

- formation energy from raw total energies (kJ/mol of atoms) = -25
- magnetization (μB/f.u.) = 0.60
- space group = I4/mmm, No. 139

Cell: 13.8979 13.8979 13.8979 Å, 165.09 165.09 21.15°
Element x y z (fractional)
1 V 0.0000 0.0000 0.0000
2 Ni 0.0646 0.5646 0.5000
3 Ni 0.3072 0.3072 0.0000
4 Ni 0.4354 0.9354 0.5000
5 Ni 0.5000 0.5000 0.0000
6 Ni 0.5646 0.0646 0.5000
7 Ni 0.6928 0.6928 0.0000
8 Ni 0.9354 0.4354 0.5000
9 Sb 0.2106 0.2106 0.0000
10 Sb 0.7894 0.7894 0.0000
11 P 0.3870 0.3870 0.0000
12 P 0.6130 0.6130 0.0000

---

First-principles (GGA-PBE) data for ScNiP after structural relaxation, as listed in Alexandria.

- ΔE_f (meV per atom) = -1138
- magnetization (μB/f.u.) = 0.00
- space group = P4/nmm, No. 129

Cell: 3.7068 3.7068 6.2705 Å, 90.00 90.00 90.00°
Element x y z (fractional)
1 Sc 0.2500 0.2500 0.1690
2 Sc 0.7500 0.7500 0.8310
3 Ni 0.2500 0.7500 0.5000
4 Ni 0.7500 0.2500 0.5000
5 P 0.2500 0.2500 0.7362
6 P 0.7500 0.7500 0.2638

---

First-principles (GGA-PBE) data for Sc2Ni2P after structural relaxation, as listed in Alexandria.

- ΔE_f (meV per atom) = -653
- magnetization (μB/f.u.) = 0.00
- energy above the lowest structure with this stoichiometry (eV per atom) = 0.0000
- space group = P4/mbm, No. 127

Cell: 6.3852 6.3852 3.7289 Å, 90.00 90.00 90.00°
Element x y z (fractional)
1 Sc 0.1758 0.3242 0.0000
2 Sc 0.3242 0.8242 0.0000
3 Sc 0.6758 0.1758 0.0000
4 Sc 0.8242 0.6758 0.0000
5 Ni 0.1336 0.6336 0.5000
6 Ni 0.3664 0.1336 0.5000
7 Ni 0.6336 0.8664 0.5000
8 Ni 0.8664 0.3664 0.5000
9 P 0.0000 0.0000 0.5000
10 P 0.5000 0.5000 0.5000

---

First-principles (GGA-PBE) data for ScNiP2 after structural relaxation, as listed in Alexandria.

- ΔE_f (meV per atom) = -525
- magnetization (μB/f.u.) = 0.00
- space group = I-4m2, No. 119

Cell: 5.1327 5.1327 5.1327 Å, 139.13 139.13 59.17°
Element x y z (fractional)
1 Sc 0.0000 0.0000 0.0000
2 Ni 0.2500 0.7500 0.5000
3 P 0.5000 0.5000 0.0000
4 P 0.7500 0.2500 0.5000

---

First-principles (GGA-PBE) data for Sc2Ni12P7 after structural relaxation, as listed in Alexandria.

- ΔE_f (meV per atom) = -746
- magnetization (μB/f.u.) = 0.00
- energy above the lowest structure with this stoichiometry (eV per atom) = 0.0068
- space group = P-3, No. 147

Cell: 9.0223 9.0223 3.6002 Å, 90.00 90.00 120.00°
Element x y z (fractional)
1 Sc 0.3333 0.6667 0.2519
2 Sc 0.6667 0.3333 0.7481
3 Ni 0.0587 0.4373 0.7507
4 Ni 0.1129 0.2580 0.2464
5 Ni 0.1450 0.8871 0.2464
6 Ni 0.2580 0.1450 0.7536
7 Ni 0.3787 0.9413 0.7507
8 Ni 0.4373 0.3787 0.2493
9 Ni 0.5627 0.6213 0.7507
10 Ni 0.6213 0.0587 0.2493
11 Ni 0.7420 0.8550 0.2464
12 Ni 0.8550 0.1129 0.7536
13 Ni 0.8871 0.7420 0.7536
14 Ni 0.9413 0.5627 0.2493
15 P 0.0000 0.0000 0.5000
16 P 0.1192 0.7066 0.7505
17 P 0.2934 0.4126 0.7505
18 P 0.4126 0.1192 0.2495
19 P 0.5874 0.8808 0.7505
20 P 0.7066 0.5874 0.2495
21 P 0.8808 0.2934 0.2495

---

First-principles (GGA-PBE) data for ScNiP2 after structural relaxation, as listed in Alexandria.

- ΔE_f (meV per atom) = -164
- magnetization (μB/f.u.) = 0.00
- space group = R3m, No. 160

Cell: 6.8830 6.8830 6.8830 Å, 27.98 27.98 27.98°
Element x y z (fractional)
1 Sc 0.0000 0.0000 0.0000
2 Ni 0.2386 0.2386 0.2386
3 P 0.5063 0.5063 0.5063
4 P 0.7645 0.7645 0.7645

---

First-principles (GGA-PBE) data for ScNiP2 after structural relaxation, as listed in Alexandria.

- ΔE_f (meV per atom) = -593
- magnetization (μB/f.u.) = 0.00
- space group = Cm, No. 8

Cell: 5.1204 5.1204 3.7551 Å, 103.00 103.00 39.11°
Element x y z (fractional)
1 Sc 0.0000 0.0000 0.0000
2 Ni 0.7572 0.7572 0.4198
3 P 0.2653 0.2653 0.8883
4 P 0.5418 0.5418 0.5274

---

First-principles (GGA-PBE) data for ScNiP after structural relaxation, as listed in Alexandria.

- ΔE_f (meV per atom) = -278
- magnetization (μB/f.u.) = 0.00
- space group = F-43m, No. 216

Cell: 4.2168 4.2168 4.2168 Å, 60.00 60.00 60.00°
Element x y z (fractional)
1 Sc 0.0000 0.0000 0.0000
2 Ni 0.2500 0.2500 0.2500
3 P 0.7500 0.7500 0.7500

---

First-principles (GGA-PBE) data for ScNiP2 after structural relaxation, as listed in Alexandria.

- ΔE_f (meV per atom) = -541
- magnetization (μB/f.u.) = 0.00
- space group = Pm, No. 6

Cell: 3.2749 4.1148 5.1463 Å, 90.00 107.16 90.00°
Element x y z (fractional)
1 Sc 0.0000 0.0000 0.0000
2 Ni 0.6573 0.5000 0.3345
3 P 0.4475 0.5000 0.8857
4 P 0.7182 0.0000 0.4559

---

First-principles (GGA-PBE) data for Sc2NiP6 after structural relaxation, as listed in Alexandria.

- ΔE_f (meV per atom) = -334
- magnetization (μB/f.u.) = 0.00
- space group = P-62m, No. 189

Cell: 6.8899 6.8899 3.3754 Å, 90.00 90.00 120.00°
Element x y z (fractional)
1 Sc 0.3333 0.6667 0.0000
2 Sc 0.6667 0.3333 0.0000
3 Ni 0.0000 0.0000 0.5000
4 P 0.0000 0.2494 0.0000
5 P 0.0000 0.6537 0.5000
6 P 0.2494 0.0000 0.0000
7 P 0.3463 0.3463 0.5000
8 P 0.6537 0.0000 0.5000
9 P 0.7506 0.7506 0.0000